The following is a PBE calculation of an optimized crystal structure of ErGa2Ir, from the Alexandria database.

a b c (Å): 7.954 6.825 5.482
angles (deg): 90.00 90.00 90.00
Space group Pnma (No. 62)
One atom of each set of equivalent atoms:
Er 0.047 0.250 0.118
Ga 0.172 0.052 0.615
Ir 0.108 0.750 0.356

Results
**ΔE_f**: -2.9 eV per formula unit
**DFT total energy**: -5.58 eV per atom

***

The following is a PBE calculation of an optimized crystal structure of ErGa3Ir, from the Alexandria database.

a b c (Å): 6.407 6.407 6.407
angles (deg): 90.00 90.00 90.00
Space group Pm-3m (No. 221)
One atom of each set of equivalent atoms:
Er 0.000 0.000 0.500
Ga 0.000 0.000 0.000
Ga 0.287 0.287 0.287
Ir 0.000 0.500 0.500

Results
**Offset from the most stable computed form**: 0.0000 eV/atom
**ΔE_f**: -3.3 eV per formula unit
**DFT total energy**: -5.17 eV per atom

***

The following is a PBE calculation of an optimized crystal structure of ErGaIr, from the Alexandria database.

a b c (Å): 4.4452 4.4452 3.3291
angles (deg): 90.00 90.00 120.00
Space group P-6m2 (No. 187)
One atom of each set of equivalent atoms:
Er 0.0000 0.0000 0.0000
Ga 0.6667 0.3333 0.5000
Ir 0.3333 0.6667 0.5000

Results
**ΔE_f**: -2.3 eV per formula unit
**DFT total energy**: -6.24 eV per atom

***

The following is a PBE calculation of an optimized crystal structure of Er3Ga3Ir, from the Alexandria database.

a b c (Å): 10.703 4.135 14.396
angles (deg): 90.00 108.34 90.00
Space group C2/m (No. 12)
One atom of each set of equivalent atoms:
Er 0.027 0.000 0.381
Er 0.110 0.000 0.923
Er 0.238 0.000 0.237
Ga 0.023 0.500 0.228
Ga 0.108 0.500 0.075
Ga 0.143 0.500 0.535
Ir 0.239 0.500 0.382

Results
**ΔE_f**: -5.1 eV per formula unit
**DFT total energy**: -5.25 eV per atom

***

The following is a PBE calculation of an optimized crystal structure of Er3GaIr2, from the Alexandria database.

a b c (Å): 11.629 3.944 11.655
angles (deg): 90.00 90.00 90.00
Space group Pnma (No. 62)
One atom of each set of equivalent atoms:
Er 0.049 0.250 0.122
Er 0.134 0.750 0.574
Er 0.199 0.250 0.823
Ga 0.121 0.250 0.374
Ir 0.005 0.750 0.309
Ir 0.188 0.750 0.994

Results
**ΔE_f**: -4.7 eV per formula unit
**DFT total energy**: -6.52 eV per atom

***

The following is a PBE calculation of an optimized crystal structure of Er3Ga3Ir2, from the Alexandria database.

a b c (Å): 7.779 15.180 5.540
angles (deg): 90.00 90.00 90.00
Space group Pnma (No. 62)
One atom of each set of equivalent atoms:
Er 0.040 0.109 0.111
Er 0.177 0.250 0.634
Ga 0.164 0.750 0.632
Ga 0.179 0.035 0.603
Ir 0.111 0.610 0.377

Results
**ΔE_f**: -6.3 eV per formula unit
**DFT total energy**: -5.84 eV per atom

***

The following is a PBE calculation of an optimized crystal structure of Er5GaIr4, from the Alexandria database.

a b c (Å): 3.446 3.446 17.023
angles (deg): 90.00 90.00 90.00
Space group P4/mmm (No. 123)
One atom of each set of equivalent atoms:
Er 0.000 0.000 0.000
Er 0.000 0.000 0.196
Er 0.000 0.000 0.390
Ga 0.500 0.500 0.500
Ir 0.500 0.500 0.098
Ir 0.500 0.500 0.297

Results
**ΔE_f**: -8.3 eV per formula unit
**DFT total energy**: -6.96 eV per atom

***

The following is a PBE calculation of an optimized crystal structure of Er3Ga8Ir3, from the Alexandria database.

a b c (Å): 4.185 9.819 12.348
angles (deg): 90.00 90.00 90.00
Space group Immm (No. 71)
One atom of each set of equivalent atoms:
Er 0.000 0.000 0.000
Er 0.000 0.000 0.332
Ga 0.000 0.285 0.124
Ga 0.000 0.371 0.329
Ir 0.000 0.222 0.500
Ir 0.000 0.500 0.000

Results
**ΔE_f**: -9.1 eV per formula unit
**DFT total energy**: -5.26 eV per atom

***

The following is a PBE calculation of an optimized crystal structure of ErGa12Ir4, from the Alexandria database.

a b c (Å): 8.811 8.811 8.811
angles (deg): 90.00 90.00 90.00
Space group Im-3 (No. 204)
One atom of each set of equivalent atoms:
Er 0.000 0.000 0.000
Ga 0.000 0.337 0.158
Ir 0.250 0.250 0.250

Results
**ΔE_f**: -2.6 eV per formula unit
**DFT total energy**: -4.64 eV per atom

***

The following is a PBE calculation of an optimized crystal structure of ErGa2Ir, from the Alexandria database.

a b c (Å): 4.2365 4.2365 14.4653
angles (deg): 90.00 90.00 120.00
Space group R-3m (No. 166, hexagonal axes)
One atom of each set of equivalent atoms:
Er 0.0000 0.0000 0.0000
Ga 0.0000 0.0000 0.2184
Ir 0.0000 0.0000 0.5000

Results
**ΔE_f**: -2.6 eV per formula unit
**DFT total energy**: -5.51 eV per atom

***

The following is a PBE calculation of an optimized crystal structure of ErGaIr, from the Alexandria database.

a b c (Å): 7.388 11.181 12.140
angles (deg): 90.00 90.00 90.00
Space group Fddd (No. 70, origin choice 2)
One atom of each set of equivalent atoms:
Er 0.000 0.000 0.000
Ga 0.125 0.002 0.625
Ir 0.125 0.125 0.444

Results
**ΔE_f**: -1.7 eV per formula unit
**DFT total energy**: -6.04 eV per atom

***

The following is a PBE calculation of an optimized crystal structure of Er3Ga6Ir5, from the Alexandria database.

a b c (Å): 4.176 12.471 9.488
angles (deg): 90.00 90.00 90.00
Space group Pmmn (No. 59, origin choice 2)
One atom of each set of equivalent atoms:
Er 0.250 0.050 0.248
Er 0.250 0.750 0.238
Ga 0.250 0.072 0.905
Ga 0.250 0.250 0.085
Ga 0.250 0.250 0.451
Ga 0.250 0.595 0.524
Ir 0.250 0.099 0.633
Ir 0.250 0.634 0.964
Ir 0.250 0.750 0.712

Results
**ΔE_f**: -10.2 eV per formula unit
**DFT total energy**: -6.17 eV per atom

***

What did the sixth record say?
The following is a PBE calculation of an optimized crystal structure of Er3Ga3Ir2, from the Alexandria database.

a b c (Å): 7.779 15.180 5.540
angles (deg): 90.00 90.00 90.00
Space group Pnma (No. 62)
One atom of each set of equivalent atoms:
Er 0.040 0.109 0.111
Er 0.177 0.250 0.634
Ga 0.164 0.750 0.632
Ga 0.179 0.035 0.603
Ir 0.111 0.610 0.377

Results
**ΔE_f**: -6.3 eV per formula unit
**DFT total energy**: -5.84 eV per atom